No. 1
! K2SrSe2 GGA-PBE optimized geometry; values from VASP
&SYSTEM
  ibrav = 0, nat = 10, ntyp = 3
/
ATOMIC_SPECIES
K 39.10 K.upf
Sr 87.62 Sr.upf
Se 78.96 Se.upf
ATOMIC_POSITIONS crystal
K 0.127 0.373 0.000
K 0.373 0.873 0.000
K 0.627 0.127 0.000
K 0.873 0.627 0.000
Sr 0.000 0.000 0.500
Sr 0.500 0.500 0.500
Se 0.183 0.683 0.500
Se 0.317 0.183 0.500
Se 0.683 0.817 0.500
Se 0.817 0.317 0.500
CELL_PARAMETERS angstrom
8.535 0.000 0.000
0.000 8.535 0.000
0.000 0.000 4.658
! - Uncorrected formation energy: -1.22 eV/atom
! - Relative energy among the computed polymorphs: 0.000 eV/atom
! - Electronic total energy: -3.385 eV per atom
! - Symmetry: P4/mbm (127)



No. 2
! Ho5SbPt2 GGA-PBE optimized geometry; values from VASP
&SYSTEM
  ibrav = 0, nat = 16, ntyp = 3
/
ATOMIC_SPECIES
Ho 164.93 Ho.upf
Sb 121.76 Sb.upf
Pt 195.08 Pt.upf
ATOMIC_POSITIONS crystal
Ho 0.000 0.000 0.000
Ho 0.018 0.518 0.815
Ho 0.203 0.018 0.500
Ho 0.297 0.797 0.815
Ho 0.482 0.297 0.500
Ho 0.500 0.500 0.000
Ho 0.518 0.703 0.500
Ho 0.703 0.203 0.185
Ho 0.797 0.982 0.500
Ho 0.982 0.482 0.185
Sb 0.250 0.250 0.000
Sb 0.750 0.750 0.000
Pt 0.138 0.362 0.500
Pt 0.362 0.862 0.223
Pt 0.638 0.138 0.777
Pt 0.862 0.638 0.500
CELL_PARAMETERS angstrom
-3.859 3.859 6.807
3.859 -3.859 6.807
3.859 3.859 -6.807
! - Uncorrected formation energy: -1.01 eV/atom
! - Electronic total energy: -5.895 eV per atom
! - Symmetry: I4/mcm (140)



No. 3
! MgBeRh2 GGA-PBE optimized geometry; values from VASP
&SYSTEM
  ibrav = 0, nat = 4, ntyp = 3
/
ATOMIC_SPECIES
Mg 24.30 Mg.upf
Be 9.01 Be.upf
Rh 102.91 Rh.upf
ATOMIC_POSITIONS crystal
Mg 0.000 0.000 0.000
Be 0.500 0.500 0.000
Rh 0.000 0.500 0.500
Rh 0.500 0.000 0.500
CELL_PARAMETERS angstrom
2.725 -3.950 0.000
2.725 3.950 0.000
-1.133 0.000 2.510
! - Energy of formation from the pure elements: -0.2070 eV/atom
! - Relative energy among the computed polymorphs: 0.281 eV/atom
! - Electronic total energy: -5.213 eV per atom
! - Symmetry: C2/m (12)



No. 4
! ZnH2Pt2 GGA-PBE optimized geometry; values from VASP
&SYSTEM
  ibrav = 0, nat = 10, ntyp = 3
/
ATOMIC_SPECIES
Zn 65.41 Zn.upf
H 1.01 H.upf
Pt 195.08 Pt.upf
ATOMIC_POSITIONS crystal
Zn 0.000 0.000 0.000
Zn 0.500 0.500 0.000
H 0.140 0.360 0.000
H 0.360 0.860 0.000
H 0.640 0.140 0.000
H 0.860 0.640 0.000
Pt 0.177 0.323 0.500
Pt 0.323 0.823 0.500
Pt 0.677 0.177 0.500
Pt 0.823 0.677 0.500
CELL_PARAMETERS angstrom
5.599 0.000 0.000
0.000 5.599 0.000
0.000 0.000 3.478
! - Relative energy among the computed polymorphs: 0.000 eV/atom
! - Electronic total energy: -4.143 eV per atom
! - Symmetry: P4/mbm (127)



No. 5
! Pm4Ge5 GGA-PBE optimized geometry; values from VASP
&SYSTEM
  ibrav = 0, nat = 9, ntyp = 2
/
ATOMIC_SPECIES
Pm 145.00 Pm.upf
Ge 72.64 Ge.upf
ATOMIC_POSITIONS crystal
Pm 0.066 0.319 0.385
Pm 0.319 0.934 0.253
Pm 0.681 0.066 0.747
Pm 0.934 0.681 0.615
Ge 0.000 0.000 0.000
Ge 0.300 0.580 0.880
Ge 0.420 0.300 0.720
Ge 0.580 0.700 0.280
Ge 0.700 0.420 0.120
CELL_PARAMETERS angstrom
-4.319 4.319 3.084
4.319 -4.319 3.084
4.319 4.319 -3.084
! - Energy of formation from the pure elements: -0.3981 eV/atom
! - Electronic total energy: -5.075 eV per atom
! - Symmetry: I4/m (87)



No. 6
! Tb2PrYEr5 GGA-PBE optimized geometry; values from VASP
&SYSTEM
  ibrav = 0, nat = 18, ntyp = 4
/
ATOMIC_SPECIES
Tb 158.93 Tb.upf
Pr 140.91 Pr.upf
Y 88.91 Y.upf
Er 167.26 Er.upf
ATOMIC_POSITIONS crystal
Tb 0.113 0.613 0.726
Tb 0.387 0.113 0.500
Tb 0.613 0.887 0.500
Tb 0.887 0.387 0.274
Pr 0.250 0.250 0.000
Pr 0.750 0.750 0.000
Y 0.250 0.750 0.500
Y 0.750 0.250 0.500
Er 0.000 0.000 0.000
Er 0.074 0.162 0.500
Er 0.162 0.662 0.087
Er 0.338 0.426 0.500
Er 0.426 0.926 0.087
Er 0.500 0.500 0.000
Er 0.574 0.074 0.913
Er 0.662 0.574 0.500
Er 0.838 0.338 0.913
Er 0.926 0.838 0.500
CELL_PARAMETERS angstrom
-4.445 4.445 7.364
4.445 -4.445 7.364
4.445 4.445 -7.364
! - Energy of formation from the pure elements: 0.2811 eV/atom
! - Electronic total energy: -4.532 eV per atom
! - Symmetry: I4/mcm (140)



No. 7
! MnCrPt GGA-PBE optimized geometry; values from VASP
&SYSTEM
  ibrav = 0, nat = 12, ntyp = 3
/
ATOMIC_SPECIES
Mn 54.94 Mn.upf
Cr 52.00 Cr.upf
Pt 195.08 Pt.upf
ATOMIC_POSITIONS crystal
Mn 0.099 0.250 0.110
Mn 0.401 0.750 0.610
Mn 0.599 0.250 0.390
Mn 0.901 0.750 0.890
Cr 0.123 0.250 0.732
Cr 0.377 0.750 0.232
Cr 0.623 0.250 0.768
Cr 0.877 0.750 0.268
Pt 0.158 0.250 0.422
Pt 0.342 0.750 0.922
Pt 0.658 0.250 0.078
Pt 0.842 0.750 0.578
CELL_PARAMETERS angstrom
6.660 0.000 0.000
0.000 2.852 0.000
0.000 0.000 8.672
! - Energy of formation from the pure elements: -0.1189 eV/atom
! - Relative energy among the computed polymorphs: 0.027 eV/atom
! - Electronic total energy: -8.397 eV per atom
! - Symmetry: Pnma (62)



No. 8
! Nd2Sm5Sc2 GGA-PBE optimized geometry; values from VASP
&SYSTEM
  ibrav = 0, nat = 9, ntyp = 3
/
ATOMIC_SPECIES
Nd 144.24 Nd.upf
Sm 150.36 Sm.upf
Sc 44.96 Sc.upf
ATOMIC_POSITIONS crystal
Nd 0.108 0.108 0.164
Nd 0.892 0.892 0.836
Sm 0.000 0.000 0.500
Sm 0.220 0.220 0.835
Sm 0.335 0.335 0.497
Sm 0.665 0.665 0.503
Sm 0.780 0.780 0.165
Sc 0.444 0.444 0.161
Sc 0.556 0.556 0.839
CELL_PARAMETERS angstrom
7.532 -2.515 0.000
7.532 2.515 0.000
-2.530 0.000 7.562
! - Energy of formation from the pure elements: 0.0418 eV/atom
! - Relative energy among the computed polymorphs: 0.000 eV/atom
! - Electronic total energy: -5.046 eV per atom
! - Symmetry: C2/m (12)



No. 9
! ZnCu3Br GGA-PBE optimized geometry; values from VASP
&SYSTEM
  ibrav = 0, nat = 5, ntyp = 3
/
ATOMIC_SPECIES
Zn 65.41 Zn.upf
Cu 63.55 Cu.upf
Br 79.90 Br.upf
ATOMIC_POSITIONS crystal
Zn 0.000 0.000 0.000
Cu 0.000 0.000 0.500
Cu 0.000 0.500 0.000
Cu 0.500 0.000 0.000
Br 0.500 0.500 0.500
CELL_PARAMETERS angstrom
4.616 0.000 0.000
0.000 4.616 0.000
0.000 0.000 4.616
! - Uncorrected formation energy: 0.68 eV/atom
! - Relative energy among the computed polymorphs: 0.000 eV/atom
! - Electronic total energy: -2.370 eV per atom
! - Symmetry: Pm-3m (221)



No. 10
! Dy2Zn3Hg2 GGA-PBE optimized geometry; values from VASP
&SYSTEM
  ibrav = 0, nat = 7, ntyp = 3
/
ATOMIC_SPECIES
Dy 162.50 Dy.upf
Zn 65.41 Zn.upf
Hg 200.59 Hg.upf
ATOMIC_POSITIONS crystal
Dy 0.147 0.147 0.264
Dy 0.853 0.853 0.736
Zn 0.415 0.415 0.084
Zn 0.500 0.500 0.500
Zn 0.585 0.585 0.916
Hg 0.157 0.157 0.745
Hg 0.843 0.843 0.255
CELL_PARAMETERS angstrom
5.325 -2.260 0.000
5.325 2.260 0.000
-2.464 0.000 6.188
! - Energy of formation from the pure elements: -0.3471 eV/atom
! - Relative energy among the computed polymorphs: 0.000 eV/atom
! - Electronic total energy: -2.294 eV per atom
! - Symmetry: C2/m (12)



No. 11
! BeCrSb2 GGA-PBE optimized geometry; values from VASP
&SYSTEM
  ibrav = 0, nat = 4, ntyp = 3
/
ATOMIC_SPECIES
Be 9.01 Be.upf
Cr 52.00 Cr.upf
Sb 121.76 Sb.upf
ATOMIC_POSITIONS crystal
Be 0.000 0.000 0.000
Cr 0.000 0.000 0.500
Sb 0.500 0.500 0.250
Sb 0.500 0.500 0.750
CELL_PARAMETERS angstrom
3.538 0.000 0.000
0.000 3.538 0.000
0.000 0.000 6.067
! - Uncorrected formation energy: 0.52 eV/atom
! - Electronic total energy: -4.877 eV per atom
! - Symmetry: P4/mmm (123)



No. 12
! Ba8Sr5Ac GGA-PBE optimized geometry; values from VASP
&SYSTEM
  ibrav = 0, nat = 14, ntyp = 3
/
ATOMIC_SPECIES
Ba 137.33 Ba.upf
Sr 87.62 Sr.upf
Ac 227.00 Ac.upf
ATOMIC_POSITIONS crystal
Ba 0.084 0.672 0.761
Ba 0.161 0.273 0.752
Ba 0.328 0.089 0.412
Ba 0.521 0.409 0.248
Ba 0.591 0.839 0.112
Ba 0.677 0.916 0.588
Ba 0.727 0.479 0.888
Ba 0.911 0.323 0.239
Sr 0.000 0.000 0.000
Sr 0.208 0.618 0.178
Sr 0.382 0.559 0.590
Sr 0.441 0.031 0.822
Sr 0.969 0.792 0.410
Ac 0.750 0.250 0.500
CELL_PARAMETERS angstrom
-5.839 5.839 6.246
5.839 -5.839 6.246
5.839 5.839 -6.246
! - Energy of formation from the pure elements: 0.1746 eV/atom
! - Electronic total energy: -1.818 eV per atom
! - Symmetry: I-4 (82)



No. 13
! CaCoTc3 GGA-PBE optimized geometry; values from VASP
&SYSTEM
  ibrav = 0, nat = 5, ntyp = 3
/
ATOMIC_SPECIES
Ca 40.08 Ca.upf
Co 58.93 Co.upf
Tc 98.00 Tc.upf
ATOMIC_POSITIONS crystal
Ca 0.000 0.000 0.000
Co 0.500 0.500 0.500
Tc 0.000 0.500 0.500
Tc 0.500 0.000 0.500
Tc 0.500 0.500 0.000
CELL_PARAMETERS angstrom
4.522 0.000 0.000
0.000 4.522 0.000
0.000 0.000 4.522
! - Energy of formation from the pure elements: 1.0556 eV/atom
! - Relative energy among the computed polymorphs: 0.000 eV/atom
! - Electronic total energy: -6.985 eV per atom
! - Symmetry: Pm-3m (221)



No. 14
! ZrTaMn2 GGA-PBE optimized geometry; values from VASP
&SYSTEM
  ibrav = 0, nat = 4, ntyp = 3
/
ATOMIC_SPECIES
Zr 91.22 Zr.upf
Ta 180.95 Ta.upf
Mn 54.94 Mn.upf
ATOMIC_POSITIONS crystal
Zr 0.000 0.000 0.000
Ta 0.500 0.500 0.644
Mn 0.000 0.000 0.496
Mn 0.500 0.500 0.170
CELL_PARAMETERS angstrom
3.031 0.000 0.000
0.000 4.065 0.000
0.000 0.000 5.244
! - Energy of formation from the pure elements: 0.3007 eV/atom
! - Electronic total energy: -9.384 eV per atom
! - Symmetry: Pmm2 (25)



No. 15
! Mg4Cd2In GGA-PBE optimized geometry; values from VASP
&SYSTEM
  ibrav = 0, nat = 7, ntyp = 3
/
ATOMIC_SPECIES
Mg 24.30 Mg.upf
Cd 112.41 Cd.upf
In 114.82 In.upf
ATOMIC_POSITIONS crystal
Mg 0.116 0.116 0.116
Mg 0.370 0.370 0.370
Mg 0.630 0.630 0.630
Mg 0.884 0.884 0.884
Cd 0.250 0.250 0.250
Cd 0.750 0.750 0.750
In 0.500 0.500 0.500
CELL_PARAMETERS angstrom
2.463 1.422 7.951
-2.463 1.422 7.951
0.000 -2.844 7.951
! - Energy of formation from the pure elements: -0.0308 eV/atom
! - Relative energy among the computed polymorphs: 0.000 eV/atom
! - Electronic total energy: -1.595 eV per atom
! - Symmetry: R-3m (166)



No. 16
! NaSr2Nd GGA-PBE optimized geometry; values from VASP
&SYSTEM
  ibrav = 0, nat = 4, ntyp = 3
/
ATOMIC_SPECIES
Na 22.99 Na.upf
Sr 87.62 Sr.upf
Nd 144.24 Nd.upf
ATOMIC_POSITIONS crystal
Na 0.000 0.000 0.000
Sr 0.419 0.419 0.419
Sr 0.581 0.581 0.581
Nd 0.833 0.833 0.833
CELL_PARAMETERS angstrom
2.003 1.156 12.864
-2.003 1.156 12.864
0.000 -2.312 12.864
! - Energy of formation from the pure elements: 0.1200 eV/atom
! - Relative energy among the computed polymorphs: 0.017 eV/atom
! - Electronic total energy: -2.243 eV per atom
! - Symmetry: R3m (160)



No. 17
! BeReSi2 GGA-PBE optimized geometry; values from VASP
&SYSTEM
  ibrav = 0, nat = 4, ntyp = 3
/
ATOMIC_SPECIES
Be 9.01 Be.upf
Re 186.21 Re.upf
Si 28.09 Si.upf
ATOMIC_POSITIONS crystal
Be 0.000 0.000 0.000
Re 0.500 0.500 0.766
Si 0.000 0.000 0.505
Si 0.500 0.500 0.227
CELL_PARAMETERS angstrom
1.642 -2.143 0.000
1.642 2.143 0.000
0.000 0.000 7.422
! - Uncorrected formation energy: 0.34 eV/atom
! - Electronic total energy: -6.419 eV per atom
! - Symmetry: Cmm2 (35)



No. 18
! TbInPt5 GGA-PBE optimized geometry; values from VASP
&SYSTEM
  ibrav = 0, nat = 28, ntyp = 3
/
ATOMIC_SPECIES
Tb 158.93 Tb.upf
In 114.82 In.upf
Pt 195.08 Pt.upf
ATOMIC_POSITIONS crystal
Tb 0.250 0.250 0.068
Tb 0.250 0.750 0.568
Tb 0.750 0.250 0.432
Tb 0.750 0.750 0.932
In 0.148 0.250 0.363
In 0.352 0.750 0.863
In 0.648 0.250 0.137
In 0.852 0.750 0.637
Pt 0.028 0.250 0.581
Pt 0.063 0.506 0.797
Pt 0.063 0.994 0.797
Pt 0.084 0.750 0.010
Pt 0.194 0.750 0.236
Pt 0.306 0.250 0.736
Pt 0.416 0.250 0.510
Pt 0.437 0.006 0.297
Pt 0.437 0.494 0.297
Pt 0.472 0.750 0.081
Pt 0.528 0.250 0.919
Pt 0.563 0.506 0.703
Pt 0.563 0.994 0.703
Pt 0.584 0.750 0.490
Pt 0.694 0.750 0.264
Pt 0.806 0.250 0.764
Pt 0.916 0.250 0.990
Pt 0.937 0.006 0.203
Pt 0.937 0.494 0.203
Pt 0.972 0.750 0.419
CELL_PARAMETERS angstrom
8.830 0.000 0.000
0.000 5.306 0.000
0.000 0.000 11.124
! - Energy of formation from the pure elements: -0.6654 eV/atom
! - Electronic total energy: -6.033 eV per atom
! - Symmetry: Pnma (62)



No. 19
! SnIO2 GGA-PBE optimized geometry; values from VASP
&SYSTEM
  ibrav = 0, nat = 8, ntyp = 3
/
ATOMIC_SPECIES
Sn 118.71 Sn.upf
I 126.90 I.upf
O 16.00 O.upf
ATOMIC_POSITIONS crystal
Sn 0.000 0.000 0.000
Sn 0.750 0.250 0.500
I 0.250 0.750 0.500
I 0.500 0.500 0.000
O 0.375 0.056 0.181
O 0.806 0.625 0.681
O 0.875 0.194 0.819
O 0.944 0.125 0.319
CELL_PARAMETERS angstrom
-3.143 3.143 4.385
3.143 -3.143 4.385
3.143 3.143 -4.385
! - Uncorrected formation energy: -0.70 eV/atom
! - Relative energy among the computed polymorphs: 0.300 eV/atom
! - Electronic total energy: -4.570 eV per atom
! - Symmetry: I-42d (122)



No. 20
! KIr2Pt GGA-PBE optimized geometry; values from VASP
&SYSTEM
  ibrav = 0, nat = 4, ntyp = 3
/
ATOMIC_SPECIES
K 39.10 K.upf
Ir 192.22 Ir.upf
Pt 195.08 Pt.upf
ATOMIC_POSITIONS crystal
K 0.000 0.000 0.000
Ir 0.500 0.500 0.275
Ir 0.500 0.500 0.725
Pt 0.000 0.000 0.500
CELL_PARAMETERS angstrom
1.404 -2.389 0.000
1.404 2.389 0.000
0.000 0.000 10.338
! - Energy of formation from the pure elements: 0.6454 eV/atom
! - Relative energy among the computed polymorphs: 0.329 eV/atom
! - Electronic total energy: -5.570 eV per atom
! - Symmetry: Cmmm (65)